[1]
## NaY2Cu2Se4 (PBE-GGA)

Data for a relaxed NaY2Cu2Se4 crystal.

```
9
Lattice="7.4052 -1.8996 0.0000 7.4052 1.8996 0.0000 -3.1663 0.0000 6.7778" Properties=species:S:1:pos:R:3 pbc="T T T"
Na 0.0000 0.0000 0.0000
Y 0.0747 0.0000 3.8479
Y 11.5695 0.0000 2.9299
Cu 1.4350 0.0000 6.6648
Cu 10.2092 0.0000 0.1129
Se 2.3487 0.0000 1.7205
Se 6.1665 0.0000 1.8151
Se 5.4777 0.0000 4.9626
Se 9.2955 0.0000 5.0573
```

Values from the calculation:
calculated volume	191	Å³ per cell
formation energy without anion corrections	-1.09	eV/atom
D(E_F)	3.4	states/eV per cell
density	5.6	g/cm³
final energy	-5.133	eV/atom

***

[2]
## Na3Zr3CuSe8 (PBE-GGA)

Data for a relaxed Na3Zr3CuSe8 crystal.

```
15
Lattice="6.7069 -3.8769 0.0000 6.7069 3.8769 0.0000 -4.4656 0.0000 7.0883" Properties=species:S:1:pos:R:3 pbc="T T T"
Na 0.0000 0.0000 0.0000
Na 3.3534 1.9384 0.0000
Na 3.3534 -1.9384 0.0000
Zr 1.1206 1.9384 3.5441
Zr 1.1206 -1.9384 3.5441
Zr 4.4741 0.0000 3.5441
Cu -2.2328 0.0000 3.5441
Se -0.0107 0.0000 5.0477
Se 3.3564 1.9361 5.0546
Se 2.2374 0.0000 1.9448
Se 5.5917 1.9361 2.0337
Se 3.3564 -1.9361 5.0546
Se 6.7107 0.0000 5.1435
Se 5.5917 -1.9361 2.0337
Se 8.9588 0.0000 2.0406
```

Values from the calculation:
calculated volume	369	Å³ per cell
formation energy without anion corrections	-1.12	eV/atom
D(E_F)	6.9	states/eV per cell
density	4.7	g/cm³
final energy	-5.222	eV/atom

***

[3]
## Na3Zr2CuSe6 (PBE-GGA)

Data for a relaxed Na3Zr2CuSe6 crystal.

```
12
Lattice="3.4066 -5.8846 0.0000 3.4066 5.8846 0.0000 -2.2808 0.0000 6.9490" Properties=species:S:1:pos:R:3 pbc="T T T"
Na 0.0000 0.0000 0.0000
Na 3.4066 1.9582 0.0000
Na 3.4066 -1.9582 0.0000
Zr 2.2662 3.9215 3.4745
Zr 2.2662 -3.9215 3.4745
Cu 2.2662 0.0000 3.4745
Se 1.1266 1.9678 1.9665
Se -0.0315 0.0000 4.9981
Se 1.1266 -1.9678 1.9665
Se 3.4058 1.9678 4.9825
Se 4.5639 0.0000 1.9509
Se 3.4058 -1.9678 4.9825
```

Values from the calculation:
calculated volume	279	Å³ per cell
formation energy without anion corrections	-1.10	eV/atom
density	4.7	g/cm³
final energy	-4.937	eV/atom

***

[4]
## Na4Zr3CuSe8 (PBE-GGA)

Data for a relaxed Na4Zr3CuSe8 crystal.

```
16
Lattice="3.9067 2.2556 6.9983 -3.9067 2.2556 6.9983 0.0000 -4.5111 6.9983" Properties=species:S:1:pos:R:3 pbc="T T T"
Na 0.0000 0.0000 0.0000
Na -1.9534 -1.1278 6.9983
Na -1.9534 1.1278 13.9965
Na 0.0000 2.2556 6.9983
Zr -3.9067 0.0000 10.4974
Zr -1.9534 1.1278 3.4991
Zr 1.9534 1.1278 3.4991
Cu 0.0000 0.0000 10.4974
Se -1.9459 -1.1235 12.0164
Se 0.0000 0.0000 5.0830
Se 0.0000 -2.2470 8.9785
Se -1.9459 1.1235 8.9785
Se 1.9459 -1.1235 12.0163
Se 0.0000 2.2470 12.0163
Se 0.0000 0.0000 15.9119
Se 1.9459 1.1235 8.9785
```

Values from the calculation:
calculated volume	370	Å³ per cell
formation energy without anion corrections	-1.15	eV/atom
D(E_F)	5.4	states/eV per cell
density	4.8	g/cm³
final energy	-5.078	eV/atom

***

[5]
## NaCu2Si (PBE-GGA)

Data for a relaxed NaCu2Si crystal.

```
8
Lattice="3.8584 0.0000 0.0000 0.0000 3.8584 0.0000 0.0000 0.0000 9.0482" Properties=species:S:1:pos:R:3 pbc="T T T"
Na 0.9646 0.9646 2.0508
Na 2.8938 2.8938 6.9974
Cu 0.9646 0.9646 8.2961
Cu 0.9646 2.8938 4.5241
Cu 2.8938 0.9646 4.5241
Cu 2.8938 2.8938 0.7521
Si 0.9646 0.9646 5.9531
Si 2.8938 2.8938 3.0950
```

Values from the calculation:
calculated volume	135	Å³ per cell
formation energy without anion corrections	0.17	eV/atom
D(E_F)	1.0	states/eV per cell
density	4.4	g/cm³
final energy	-3.566	eV/atom

***

[6]
## NaCu4Si (PBE-GGA)

Data for a relaxed NaCu4Si crystal.

```
12
Lattice="6.5004 0.0000 0.0000 0.0000 4.0045 0.0000 0.0000 0.0000 7.4024" Properties=species:S:1:pos:R:3 pbc="T T T"
Na 1.6251 0.0000 0.9339
Na 4.8753 0.0000 6.4685
Cu 0.0000 0.0000 3.7012
Cu 0.3773 2.0023 5.5176
Cu 1.6251 2.0023 3.3204
Cu 2.8729 2.0023 5.5176
Cu 3.2502 0.0000 3.7012
Cu 3.6274 2.0023 1.8848
Cu 4.8753 2.0023 4.0820
Cu 6.1231 2.0023 1.8848
Si 1.6251 0.0000 5.4245
Si 4.8753 0.0000 1.9779
```

Values from the calculation:
calculated volume	193	Å³ per cell
formation energy without anion corrections	0.10	eV/atom
excess energy over the best structure of this formula in the dataset	0.000	eV/atom
D(E_F)	6.3	states/eV per cell
density	5.3	g/cm³
final energy	-3.751	eV/atom

***

[7]
## NaCu2Si (PBE-GGA)

Data for a relaxed NaCu2Si crystal.

```
8
Lattice="-2.3777 2.3777 7.7913 2.3777 -2.3777 7.7913 2.3777 2.3777 -7.7913" Properties=species:S:1:pos:R:3 pbc="T T T"
Na 2.3777 1.1888 1.9478
Na 0.0000 1.1888 5.8435
Cu 0.0000 0.0000 0.0000
Cu 1.1888 1.1888 -3.8957
Cu 1.1888 -1.1888 3.8957
Cu 0.0000 2.3777 0.0000
Si 2.3777 -1.1888 5.8435
Si 0.0000 3.5665 1.9478
```

Values from the calculation:
calculated volume	176	Å³ per cell
formation energy without anion corrections	0.22	eV/atom
D(E_F)	4.4	states/eV per cell
density	3.4	g/cm³
final energy	-3.514	eV/atom

***

[8]
## Na3CuSi (PBE-GGA)

Data for a relaxed Na3CuSi crystal.

```
5
Lattice="5.2331 0.0000 0.0000 0.0000 5.2331 0.0000 0.0000 0.0000 5.2331" Properties=species:S:1:pos:R:3 pbc="T T T"
Na 0.0000 0.0000 2.6166
Na 0.0000 2.6166 0.0000
Na 2.6166 0.0000 0.0000
Cu 0.0000 0.0000 0.0000
Si 2.6166 2.6166 2.6166
```

Values from the calculation:
calculated volume	143	Å³ per cell
formation energy without anion corrections	0.65	eV/atom
excess energy over the best structure of this formula in the dataset	0.000	eV/atom
D(E_F)	3.7	states/eV per cell
density	1.9	g/cm³
final energy	-2.048	eV/atom